# 1
A plane-wave DFT calculation with PBE was carried out for a relaxed BP2C crystal.

Output
The value obtained for the formation energy is 0.353 eV/atom. The calculation puts the volume at 89 Å³/cell. For the density of states at the Fermi level, the calculation gives 1.3 states/eV/f.u. As for the mass density: 3.2 Mg/m³. The distance to the lowest polymorph of the same formula is 171 meV/atom.

Unit cell a=4.669 b=2.692 c=7.254 alpha=90.00 beta=102.56 gamma=90.00
Space group Cm (No. 8)
Symmetry-distinct sites (fractional):
B (0.000, 0.000, 0.000) x2
P (0.102, 0.000, 0.295) x2
P (0.225, 0.000, 0.686) x2
C (0.313, 0.000, 0.944) x2

***

# 2
A plane-wave DFT calculation with PBE was carried out for a relaxed Pm3Zn2Pt crystal.

Output
The value obtained for the formation energy is -0.582 eV/atom. The calculation puts the volume at 144 Å³/cell. For the density of states at the Fermi level, the calculation gives 5.0 states/eV/f.u. As for the mass density: 8.8 Mg/m³. The distance to the lowest polymorph of the same formula is 5 meV/atom.

Unit cell a=5.1147 b=5.1147 c=6.3475 alpha=90.00 beta=90.00 gamma=120.00
Space group P-3m1 (No. 164)
Symmetry-distinct sites (fractional):
Pm (0.0000, 0.0000, 0.0000) x1
Pm (0.3333, 0.6667, 0.6525) x2
Zn (0.3333, 0.6667, 0.1409) x2
Pt (0.0000, 0.0000, 0.5000) x1

***

# 3
A plane-wave DFT calculation with PBE was carried out for a relaxed LaTi3Mn crystal.

Output
The value obtained for the formation energy is 1.773 eV/atom. The calculation puts the volume at 106 Å³/cell. For the density of states at the Fermi level, the calculation gives 10.5 states/eV/f.u. As for the mass density: 5.3 Mg/m³. The distance to the lowest polymorph of the same formula is 1592 meV/atom.

Unit cell a=4.729 b=4.729 c=4.729 alpha=90.00 beta=90.00 gamma=90.00
Space group Pm-3m (No. 221)
Symmetry-distinct sites (fractional):
La (0.000, 0.000, 0.000) x1
Ti (0.000, 0.000, 0.500) x3
Mn (0.500, 0.500, 0.500) x1

***

# 4
A plane-wave DFT calculation with PBE was carried out for a relaxed Pm4Ir2Pb crystal.

Output
The value obtained for the formation energy is -0.462 eV/atom. The calculation puts the volume at 858 Å³/cell. For the density of states at the Fermi level, the calculation gives 5.4 states/eV/f.u. As for the mass density: 9.1 Mg/m³.

Unit cell a=13.373 b=9.577 c=9.465 alpha=90.00 beta=134.93 gamma=90.00
Space group C2/c (No. 15)
Symmetry-distinct sites (fractional):
Pm (0.000, 0.216, 0.069) x8
Pm (0.181, 0.466, 0.931) x8
Ir (0.000, 0.500, 0.000) x4
Ir (0.250, 0.250, 0.500) x4
Pb (0.000, 0.125, 0.750) x4

***

# 5
A plane-wave DFT calculation with PBE was carried out for a relaxed AlFeCu2 crystal.

Output
The value obtained for the formation energy is -0.016 eV/atom. The calculation puts the volume at 51 Å³/cell. For the density of states at the Fermi level, the calculation gives 2.1 states/eV/f.u. As for the mass density: 6.9 Mg/m³.

Unit cell a=2.734 b=2.734 c=6.776 alpha=90.00 beta=90.00 gamma=90.00
Space group P4/mmm (No. 123)
Symmetry-distinct sites (fractional):
Al (0.000, 0.000, 0.000) x1
Fe (0.000, 0.000, 0.500) x1
Cu (0.500, 0.500, 0.249) x2

***

# 6
A plane-wave DFT calculation with PBE was carried out for a relaxed La2CuAs crystal.

Output
The value obtained for the formation energy is -0.776 eV/atom. The calculation puts the volume at 206 Å³/cell. For the density of states at the Fermi level, the calculation gives 3.4 states/eV/f.u. As for the mass density: 6.7 Mg/m³.

Unit cell a=4.258 b=4.297 c=11.258 alpha=90.00 beta=90.00 gamma=90.00
Space group Amm2 (No. 38)
Symmetry-distinct sites (fractional):
La (0.000, 0.000, 0.000) x2
La (0.500, 0.000, 0.284) x2
Cu (0.000, 0.000, 0.711) x2
As (0.500, 0.000, 0.567) x2

***

# 7
A plane-wave DFT calculation with PBE was carried out for a relaxed CaTa2Cd crystal.

Output
The value obtained for the formation energy is 0.275 eV/atom. The calculation puts the volume at 92 Å³/cell. For the density of states at the Fermi level, the calculation gives 3.1 states/eV/f.u. As for the mass density: 9.3 Mg/m³.

Unit cell a=3.504 b=3.504 c=7.497 alpha=90.00 beta=90.00 gamma=90.00
Space group P4mm (No. 99)
Symmetry-distinct sites (fractional):
Ca (0.000, 0.000, 0.000) x1
Ta (0.000, 0.000, 0.543) x1
Ta (0.500, 0.500, 0.700) x1
Cd (0.500, 0.500, 0.294) x1

***

# 8
A plane-wave DFT calculation with PBE was carried out for a relaxed Tb2FeCo crystal.

Output
The value obtained for the formation energy is 0.049 eV/atom. The calculation puts the volume at 78 Å³/cell. For the density of states at the Fermi level, the calculation gives 6.1 states/eV/f.u. As for the mass density: 9.2 Mg/m³.

Unit cell a=3.379 b=3.379 c=6.824 alpha=90.00 beta=90.00 gamma=90.00
Space group P4/mmm (No. 123)
Symmetry-distinct sites (fractional):
Tb (0.000, 0.000, 0.244) x2
Fe (0.500, 0.500, 0.500) x1
Co (0.500, 0.500, 0.000) x1

***

# 9
A plane-wave DFT calculation with PBE was carried out for a relaxed K2BaRhSe crystal.

Output
The calculation puts the volume at 227 Å³/cell. For the formation energy (no corrections), the calculation gives -0.094 eV per atom. For the density of states at the Fermi level, the calculation gives 3.7 states/eV/f.u. As for the mass density: 2.9 Mg/m³.

Unit cell a=5.998 b=5.998 c=6.302 alpha=90.00 beta=90.00 gamma=90.00
Space group P4/mmm (No. 123)
Symmetry-distinct sites (fractional):
K (0.000, 0.500, 0.000) x2
Ba (0.000, 0.000, 0.500) x1
Rh (0.500, 0.500, 0.500) x1
Se (0.000, 0.000, 0.000) x1

***

# 10
A plane-wave DFT calculation with PBE was carried out for a relaxed Li4Bi2Pb crystal.

Output
The value obtained for the formation energy is -0.175 eV/atom. The calculation puts the volume at 335 Å³/cell. For the density of states at the Fermi level, the calculation gives 2.3 states/eV/f.u. As for the mass density: 6.5 Mg/m³. The distance to the lowest polymorph of the same formula is 211 meV/atom.

Unit cell a=5.377 b=5.377 c=11.596 alpha=90.00 beta=90.00 gamma=90.00
Space group I4/mmm (No. 139)
Symmetry-distinct sites (fractional):
Li (0.000, 0.500, 0.000) x4
Li (0.000, 0.500, 0.250) x4
Bi (0.000, 0.000, 0.134) x4
Pb (0.000, 0.000, 0.500) x2

***

# 11
A plane-wave DFT calculation with PBE was carried out for a relaxed AcCd3Ir crystal.

Output
The value obtained for the formation energy is -0.292 eV/atom. The calculation puts the volume at 245 Å³/cell. For the density of states at the Fermi level, the calculation gives 2.1 states/eV/f.u. As for the mass density: 10.3 Mg/m³. The distance to the lowest polymorph of the same formula is 0 meV/atom.

Unit cell a=5.744 b=6.020 c=7.626 alpha=90.00 beta=111.85 gamma=90.00
Space group P2_1/m (No. 11)
Symmetry-distinct sites (fractional):
Ac (0.211, 0.250, 0.106) x2
Cd (0.216, 0.006, 0.688) x4
Cd (0.336, 0.750, 0.389) x2
Ir (0.343, 0.750, 0.027) x2

***

# 12
A plane-wave DFT calculation with PBE was carried out for a relaxed ZrGeIr2 crystal.

Output
The value obtained for the formation energy is 0.110 eV/atom. The calculation puts the volume at 382 Å³/cell. For the density of states at the Fermi level, the calculation gives 1.1 states/eV/f.u. As for the mass density: 9.5 Mg/m³.

Unit cell a=5.671 b=5.671 c=11.868 alpha=90.00 beta=90.00 gamma=90.00
Space group I-42d (No. 122)
Symmetry-distinct sites (fractional):
Zr (0.000, 0.000, 0.000) x4
Ge (0.000, 0.000, 0.500) x4
Ir (0.216, 0.250, 0.625) x8